# 1
The following is a PBE calculation of a relaxed Ca4CdGaHg2 crystal, from Alexandria via LeMat-Bulk.

Results
Size of the total moment = 0.000 μB/atom
Symmetry = R-3m, No. 166
Raw total energy = -2.05 eV/atom

Structure (POSCAR):
```
Ca4CdGaHg2
1.0
-2.503 4.286 1.945
-4.246 -0.601 3.167
2.997 1.111 8.715
Cd Ca Hg Ga
1 4 2 1
direct
0.000 0.000 0.000
0.872 0.872 0.384
0.378 0.378 0.866
0.128 0.128 0.616
0.622 0.622 0.134
0.748 0.748 0.756
0.252 0.252 0.244
0.500 0.500 0.500
```

=====

# 2
The following is a PBE calculation of a relaxed NdSbPdRh crystal, from Alexandria via LeMat-Bulk.

Results
ΔE_f (raw) = -0.669 eV per atom
Size of the total moment = 0.000 μB/atom
Symmetry = F-43m, No. 216

Structure (POSCAR):
```
NdSbPdRh
1.0
4.858 0.000 0.000
2.429 4.207 0.000
2.429 1.402 3.967
Sb Rh Nd Pd
1 1 1 1
direct
0.250 0.250 0.250
0.500 0.500 0.500
0.750 0.750 0.750
0.000 0.000 0.000
```

=====

# 3
The following is a PBE calculation of a relaxed CaAlSe2Br crystal, from Alexandria via LeMat-Bulk.

Results
ΔE_f (raw) = -0.951 eV per atom
Size of the total moment = 0.000 μB/atom
Symmetry = P4/mmm, No. 123

Structure (POSCAR):
```
CaAlSe2Br
1.0
5.005 0.000 0.000
0.000 5.005 0.000
0.000 0.000 5.062
Se Al Br Ca
2 1 1 1
direct
0.000 0.500 0.000
0.500 0.000 0.000
0.000 0.000 0.000
0.000 0.000 0.500
0.500 0.500 0.500
```